1.
La2HoPb3 | PBE-GGA | optimized geometry

Calculated values
Energy above the lowest structure with this stoichiometry ... 0 meV per atom
Calculated density ... 9.53 g/cm3
Space group ... C2/c (15)
DOS(E_F) ... 0.595 states/eV/atom

The structure in POSCAR format:
```
La2HoPb3
1.0
6.6208 0.0000 0.0000
0.0000 6.4712 -0.0783
-3.3104 -1.6988 8.6760
Pb Ho La
6 2 4
direct
0.9569 0.4256 0.6867
0.6219 0.2500 0.0000
0.3781 0.7500 0.0000
0.7298 0.9256 0.6867
0.2702 0.0744 0.3133
0.0431 0.5744 0.3133
0.1217 0.2500 0.0000
0.8783 0.7500 0.0000
0.5491 0.6032 0.3386
0.7896 0.1032 0.3386
0.2104 0.8968 0.6614
0.4509 0.3968 0.6614
```

2.
La2HoPb | PBE-GGA | optimized geometry

Calculated values
Energy above the lowest structure with this stoichiometry ... 55 meV per atom
Calculated density ... 8.17 g/cm3
Space group ... P4/mmm (123)
DOS(E_F) ... 0.983 states/eV/atom

The structure in POSCAR format:
```
La2HoPb
1.0
4.3968 0.0000 0.0000
0.0000 4.3968 0.0000
0.0000 0.0000 6.8357
Pb La Ho
1 2 1
direct
0.5000 0.5000 0.5000
0.0000 0.0000 0.2692
0.0000 0.0000 0.7308
0.5000 0.5000 0.0000
```

3.
La12HoPb3 | PBE-GGA | optimized geometry

Calculated values
Calculated density ... 7.63 g/cm3
Space group ... P4/mmm (123)
DOS(E_F) ... 1.303 states/eV/atom

The structure in POSCAR format:
```
La12HoPb3
1.0
5.0905 0.0000 0.0000
0.0000 5.0905 0.0000
0.0000 0.0000 20.6054
La Pb Ho
12 3 1
direct
0.0000 0.5000 0.1290
0.5000 0.5000 0.7462
0.5000 0.0000 0.3771
0.0000 0.5000 0.6229
0.5000 0.0000 0.8710
0.5000 0.0000 0.6229
0.5000 0.5000 0.0000
0.5000 0.0000 0.1290
0.0000 0.5000 0.3771
0.5000 0.5000 0.5000
0.5000 0.5000 0.2538
0.0000 0.5000 0.8710
0.0000 0.0000 0.5000
0.0000 0.0000 0.2539
0.0000 0.0000 0.7461
0.0000 0.0000 0.0000
```

Number 1: E_form -0.51 eV per atom. Number 2: E_form -0.28 eV per atom. Number 3: E_form -0.28 eV per atom.